# K3Zn2MoF9

A relaxed K3Zn2MoF9 crystal (GGA+U, Alexandria).

Results
total magnetic moment = 3.50 μB/f.u.
DFT total energy = -4.42 eV per atom

Unit cell a=6.049 b=6.049 c=7.467 alpha=90.00 beta=90.00 gamma=120.00
Atoms (fractional coordinates):
K 0.000 0.000 0.000
K 0.333 0.667 0.685
K 0.667 0.333 0.315
Zn 0.333 0.667 0.155
Zn 0.667 0.333 0.845
Mo 0.000 0.000 0.500
F 0.000 0.500 0.000
F 0.166 0.332 0.335
F 0.166 0.834 0.335
F 0.332 0.166 0.665
F 0.500 0.000 0.000
F 0.500 0.500 0.000
F 0.668 0.834 0.335
F 0.834 0.166 0.665
F 0.834 0.668 0.665